# 1
## Ac2ScAl4Pt3 (PBE)

Data for crystalline Ac2ScAl4Pt3 at its relaxed geometry.

Calculated values
**DFT formation energy**: -8.977 eV per formula unit
**Spin magnetization**: 0.00 μB per formula unit
**Density of states at the Fermi level**: 8.8 states/eV per cell
**Calculated total energy**: -0.4161 Ry/atom
**ρ**: 9.1 g/cm3
**Calculated volume**: 21.66 Å³/atom

Unit cell a=4.362 b=4.362 c=11.381 alpha=90.00 beta=90.00 gamma=90.00
Sites, in units of the cell vectors:
Ac 0.500 0.000 0.237
Ac 0.000 0.500 0.763
Sc 0.500 0.500 0.500
Al 0.500 0.500 0.000
Al 0.000 0.000 0.000
Al 0.500 0.000 0.651
Al 0.000 0.500 0.349
Pt 0.000 0.000 0.500
Pt 0.500 0.000 0.877
Pt 0.000 0.500 0.123


# 2
## KDy2P2N6 (PBE)

Data for crystalline KDy2P2N6 at its relaxed geometry.

Calculated values
**Spin magnetization**: 0.70 μB per formula unit
**ΔE_f (raw)**: -0.74 eV/atom
**Density of states at the Fermi level**: 5.0 states/eV per cell
**Calculated total energy**: -0.5289 Ry/atom
**ρ**: 4.3 g/cm3
**Calculated volume**: 17.71 Å³/atom

Unit cell a=6.322 b=6.441 c=6.404 alpha=116.64 beta=89.96 gamma=60.65
Sites, in units of the cell vectors:
K 0.500 0.000 0.500
Dy 0.824 0.352 0.805
Dy 0.176 0.648 0.195
P 0.157 0.688 0.752
P 0.843 0.312 0.248
N 0.409 0.595 0.831
N 0.003 0.405 0.170
N 0.066 0.868 0.630
N 0.997 0.595 0.830
N 0.934 0.132 0.370
N 0.591 0.405 0.169


# 3
## Ba2SrAl (PBE)

Data for crystalline Ba2SrAl at its relaxed geometry.

Calculated values
**DFT formation energy**: 0.380 eV per formula unit
**Spin magnetization**: 0.05 μB per formula unit
**Density of states at the Fermi level**: 4.3 states/eV per cell
**Calculated total energy**: -0.1634 Ry/atom
**ρ**: 3.9 g/cm3
**Calculated volume**: 41.53 Å³/atom

Unit cell a=6.484 b=6.484 c=6.484 alpha=127.58 beta=127.58 gamma=77.31
Sites, in units of the cell vectors:
Sr 0.500 0.500 0.000
Ba 0.000 0.000 0.000
Ba 0.250 0.750 0.500
Al 0.750 0.250 0.500


Q: Which value of calculated total energy does entry 2 give?
A: -0.5289 Ry/atom


Q: Look up the calculated total energy of the first one.
A: -0.4161 Ry/atom


Q: Which of these has the highest calculated total energy?
A: Ba2SrAl